Pr2CuSb4Rh3, optimized geometry, DFT PBE-GGA; E_form (uncorrected) = -0.73 eV/atom
1.0
-1.938 -4.095 0.656
3.387 -1.146 2.857
-5.473 3.878 8.043
Pr Cu Sb Rh
2 1 4 3
direct
0.500 0.000 0.256 Pr
0.000 0.500 0.744 Pr
0.500 0.500 0.500 Cu
0.500 0.500 0.000 Sb
0.000 0.000 0.000 Sb
0.500 0.000 0.629 Sb
0.000 0.500 0.371 Sb
0.000 0.000 0.500 Rh
0.500 0.000 0.877 Rh
0.000 0.500 0.123 Rh

---

Pr3NdDy2Er6, optimized geometry, DFT PBE-GGA; ΔE_f = 0.3 eV/f.u.
1.0
-5.808 -1.860 -1.176
4.382 -4.183 1.367
-2.116 2.973 11.194
Pr Nd Dy Er
3 1 2 6
direct
0.167 0.833 0.500 Pr
0.833 0.167 0.500 Pr
0.500 0.500 0.500 Pr
0.000 0.000 0.000 Nd
0.333 0.667 0.000 Dy
0.667 0.333 0.000 Dy
0.917 0.584 0.753 Er
0.749 0.749 0.247 Er
0.083 0.416 0.247 Er
0.584 0.917 0.753 Er
0.251 0.251 0.753 Er
0.416 0.083 0.247 Er

---

ZrVAs, optimized geometry, DFT PBE-GGA; ΔE_f = -1.1 eV/f.u.
1.0
-2.373 0.438 -2.529
-5.657 0.418 5.381
2.340 8.050 1.615
Zr V As
4 4 4
direct
0.907 0.617 0.814 Zr
0.534 0.816 0.069 Zr
0.466 0.184 0.931 Zr
0.093 0.383 0.186 Zr
0.741 0.365 0.482 V
0.250 0.122 0.501 V
0.259 0.635 0.518 V
0.750 0.878 0.499 V
0.656 0.621 0.312 As
0.365 0.889 0.729 As
0.344 0.379 0.688 As
0.635 0.111 0.271 As

---

Y3HgBr, optimized geometry, DFT PBE-GGA; energy relative to the lowest polymorph listed for this composition = 0 meV per atom; E_form (uncorrected) = -0.20 eV/atom
1.0
5.300 0.000 0.000
0.000 5.300 0.000
0.000 0.000 5.300
Y Hg Br
3 1 1
direct
0.000 0.500 0.000 Y
0.000 0.000 0.500 Y
0.500 0.000 0.000 Y
0.500 0.500 0.500 Hg
0.000 0.000 0.000 Br

---

Pr14NdDy, optimized geometry, DFT PBE-GGA; ΔE_f = 0.2 eV/f.u.
1.0
-7.335 -0.515 0.781
0.936 -3.978 6.162
-0.012 8.809 5.689
Pr Nd Dy
14 1 1
direct
0.375 0.625 0.500 Pr
0.875 0.125 0.500 Pr
0.875 0.625 0.000 Pr
0.875 0.625 0.500 Pr
0.375 0.125 0.000 Pr
0.375 0.125 0.500 Pr
0.626 0.876 0.752 Pr
0.626 0.876 0.248 Pr
0.124 0.374 0.752 Pr
0.124 0.374 0.248 Pr
0.124 0.876 0.752 Pr
0.124 0.876 0.248 Pr
0.626 0.374 0.752 Pr
0.626 0.374 0.248 Pr
0.375 0.625 0.000 Nd
0.875 0.125 0.000 Dy

---

CaFe3As, optimized geometry, DFT PBE-GGA; ΔE_f = 9.6 eV/f.u.; energy relative to the lowest polymorph listed for this composition = 1558 meV per atom
1.0
4.571 0.000 0.000
0.000 4.571 0.000
0.000 0.000 4.571
As Ca Fe
1 1 3
direct
0.500 0.500 0.500 As
0.000 0.000 0.000 Ca
0.000 0.500 0.000 Fe
0.000 0.000 0.500 Fe
0.500 0.000 0.000 Fe

---

V across the listed records, respectively: 21.94, 32.27, 19.03, 29.78, 35.83, 19.10 Å³/atom.